(1)
# Na2LiOsO (PBE, optimized geometry)
# Raw formation energy, meV/atom: 406
# Space-group type: P4/mmm (123)
# V, A^3/atom: 18.495
data_Na2LiOsO
_cell_length_a 5.350
_cell_length_b 5.350
_cell_length_c 3.231
_cell_angle_alpha 90.00
_cell_angle_beta 90.00
_cell_angle_gamma 90.00
_space_group_name_H-M_alt 'P 1'
_space_group_IT_number 1
_space_group_name_Hall 'P 1'
loop_
_atom_site_label
_atom_site_type_symbol
_atom_site_fract_x
_atom_site_fract_y
_atom_site_fract_z
Na1 Na 0.000 0.500 0.000
Na2 Na 0.500 0.000 0.000
Li1 Li 0.000 0.000 0.000
Os1 Os 0.500 0.500 0.500
O1 O 0.000 0.000 0.500

(2)
# KZr2Co (PBE, optimized geometry)
# Space-group type: Fm-3m (225)
# V, A^3/atom: 20.129
# E_form, eV per formula unit: 3.54
# Energy above the lowest structure with this stoichiometry, meV/atom: 624
data_KZr2Co
_cell_length_a 4.847
_cell_length_b 4.847
_cell_length_c 4.847
_cell_angle_alpha 60.00
_cell_angle_beta 60.00
_cell_angle_gamma 60.00
_space_group_name_H-M_alt 'P 1'
_space_group_IT_number 1
_space_group_name_Hall 'P 1'
loop_
_atom_site_label
_atom_site_type_symbol
_atom_site_fract_x
_atom_site_fract_y
_atom_site_fract_z
K1 K 0.000 0.000 0.000
Zr1 Zr 0.250 0.250 0.250
Zr2 Zr 0.750 0.750 0.750
Co1 Co 0.500 0.500 0.500

(3)
# Zr2PbCl2 (PBE, optimized geometry)
# Raw formation energy, meV/atom: -652
# Space-group type: I4/mmm (139)
# V, A^3/atom: 22.387
# Energy above the lowest structure with this stoichiometry, meV/atom: 0
data_Zr2PbCl2
_cell_length_a 7.136
_cell_length_b 7.136
_cell_length_c 7.136
_cell_angle_alpha 146.21
_cell_angle_beta 146.21
_cell_angle_gamma 48.54
_space_group_name_H-M_alt 'P 1'
_space_group_IT_number 1
_space_group_name_Hall 'P 1'
loop_
_atom_site_label
_atom_site_type_symbol
_atom_site_fract_x
_atom_site_fract_y
_atom_site_fract_z
Zr1 Zr 0.115 0.115 0.000
Zr2 Zr 0.885 0.885 0.000
Pb1 Pb 0.500 0.500 0.000
Cl1 Cl 0.250 0.750 0.500
Cl2 Cl 0.750 0.250 0.500

(4)
# TlAg2Os (PBE, optimized geometry)
# Space-group type: Cm (8)
# V, A^3/atom: 18.332
# E_form, eV per formula unit: 2.85
# Energy above the lowest structure with this stoichiometry, meV/atom: 77
data_TlAg2Os
_cell_length_a 5.102
_cell_length_b 5.102
_cell_length_c 5.306
_cell_angle_alpha 98.68
_cell_angle_beta 98.68
_cell_angle_gamma 32.52
_space_group_name_H-M_alt 'P 1'
_space_group_IT_number 1
_space_group_name_Hall 'P 1'
loop_
_atom_site_label
_atom_site_type_symbol
_atom_site_fract_x
_atom_site_fract_y
_atom_site_fract_z
Tl1 Tl 0.000 0.000 0.000
Ag1 Ag 0.516 0.516 0.511
Ag2 Ag 0.764 0.764 0.304
Os1 Os 0.251 0.251 0.789

(5)
# MgCdRh2 (PBE, optimized geometry)
# Space-group type: P4mm (99)
# V, A^3/atom: 16.945
# E_form, eV per formula unit: -0.49
data_MgCdRh2
_cell_length_a 2.907
_cell_length_b 2.907
_cell_length_c 8.021
_cell_angle_alpha 90.00
_cell_angle_beta 90.00
_cell_angle_gamma 90.00
_space_group_name_H-M_alt 'P 1'
_space_group_IT_number 1
_space_group_name_Hall 'P 1'
loop_
_atom_site_label
_atom_site_type_symbol
_atom_site_fract_x
_atom_site_fract_y
_atom_site_fract_z
Mg1 Mg 0.000 0.000 0.000
Cd1 Cd 0.500 0.500 0.689
Rh1 Rh 0.000 0.000 0.438
Rh2 Rh 0.500 0.500 0.223

(6)
# HfTi3Zn2 (PBE, optimized geometry)
# Space-group type: P4/mmm (123)
# V, A^3/atom: 17.084
# E_form, eV per formula unit: -0.65
data_HfTi3Zn2
_cell_length_a 3.036
_cell_length_b 3.036
_cell_length_c 11.124
_cell_angle_alpha 90.00
_cell_angle_beta 90.00
_cell_angle_gamma 90.00
_space_group_name_H-M_alt 'P 1'
_space_group_IT_number 1
_space_group_name_Hall 'P 1'
loop_
_atom_site_label
_atom_site_type_symbol
_atom_site_fract_x
_atom_site_fract_y
_atom_site_fract_z
Hf1 Hf 0.000 0.000 0.000
Ti1 Ti 0.500 0.500 0.188
Ti2 Ti 0.500 0.500 0.500
Ti3 Ti 0.500 0.500 0.812
Zn1 Zn 0.000 0.000 0.345
Zn2 Zn 0.000 0.000 0.655

| no. | raw total energy (eV per atom) |
| --- | --- |
| 1 | -3.742 |
| 2 | -5.440 |
| 3 | -5.552 |
| 4 | -4.112 |
| 5 | -4.426 |
| 6 | -6.139 |